Fe2HgIr | GGA-PBE | relaxed

Volume   241.0 Å³ per cell
Formation energy from the elements   0.3791 eV/atom
Total magnetic moment   24.39 μB per cell

The structure in CIF format:
```
data_Fe2HgIr
_chemical_formula_sum 'Fe8 Hg4 Ir4'
_cell_length_a 6.2233
_cell_length_b 6.2233
_cell_length_c 6.2233
_cell_angle_alpha 90.00
_cell_angle_beta 90.00
_cell_angle_gamma 90.00
_space_group_name_H-M_alt 'F -4 3 m'
_space_group_IT_number 216
_space_group_name_Hall 'F -4 2 3'
loop_
_atom_site_label
_atom_site_fract_x
_atom_site_fract_y
_atom_site_fract_z
_atom_site_occupancy
Fe1 0.0000 0.0000 0.0000 1
Fe2 0.2500 0.2500 0.2500 1
Hg1 0.2500 0.2500 0.7500 1
Ir1 0.0000 0.0000 0.5000 1
```